LiInMo, relaxed, DFT PBE; energy above the most stable polymorph in this dataset = 0.060 eV per atom; energy of formation = 1.112 eV/f.u.
1.0
4.577 0.000 0.000
-2.289 3.964 0.000
0.000 0.000 2.849
Li In Mo
1 1 1
direct
0.000 0.000 0.000
0.333 0.667 0.005
0.667 0.333 0.504

LiIn2Mo2, relaxed, DFT PBE; energy above the most stable polymorph in this dataset = 0.003 eV per atom; energy of formation = 1.636 eV/f.u.
1.0
3.707 0.000 0.000
0.000 3.707 0.000
0.000 0.000 14.642
Li In Mo
2 4 4
direct
0.000 0.000 0.000
0.500 0.500 0.500
0.000 0.000 0.402
0.000 0.000 0.598
0.500 0.500 0.098
0.500 0.500 0.902
0.000 0.500 0.250
0.000 0.500 0.750
0.500 0.000 0.250
0.500 0.000 0.750

LiInMo2, relaxed, DFT PBE; energy of formation = 1.190 eV/f.u.
1.0
9.231 0.000 0.000
0.000 2.734 0.000
-0.334 0.000 5.334
Li In Mo
2 2 4
direct
0.000 0.000 0.000
0.500 0.500 0.000
0.250 0.500 0.220
0.750 0.000 0.220
0.246 0.000 0.725
0.490 0.000 0.522
0.746 0.500 0.725
0.990 0.500 0.522

LiInMo2, relaxed, DFT PBE; energy of formation = 1.434 eV/f.u.
1.0
2.741 0.000 0.000
0.000 2.741 0.000
0.000 0.000 9.158
Li In Mo
1 1 2
direct
0.000 0.000 0.000
0.500 0.500 0.752
0.000 0.000 0.497
0.500 0.500 0.251

LiInMo2, relaxed, DFT PBE; energy of formation = 1.824 eV/f.u.
1.0
3.420 0.000 0.000
0.000 3.420 0.000
0.000 0.000 5.632
Li In Mo
1 1 2
direct
0.000 0.000 0.000
0.000 0.000 0.500
0.500 0.500 0.202
0.500 0.500 0.798

LiInMo2, relaxed, DFT PBE; energy of formation = 1.557 eV/f.u.
1.0
2.882 0.000 0.000
-1.441 2.496 0.000
0.000 0.000 29.166
Li In Mo
3 3 6
direct
0.000 0.000 0.000
0.333 0.667 0.667
0.667 0.333 0.333
0.000 0.000 0.247
0.333 0.667 0.913
0.667 0.333 0.580
0.000 0.000 0.495
0.000 0.000 0.749
0.333 0.667 0.162
0.333 0.667 0.416
0.667 0.333 0.082
0.667 0.333 0.828

LiInMo, relaxed, DFT PBE; energy above the most stable polymorph in this dataset = 0.002 eV per atom; energy of formation = 0.937 eV/f.u.
1.0
3.548 0.000 0.000
0.000 4.321 0.000
0.000 0.000 13.841
Li In Mo
4 4 4
direct
0.000 0.000 0.000
0.000 0.500 0.500
0.500 0.000 0.500
0.500 0.500 0.000
0.000 0.000 0.332
0.000 0.500 0.832
0.500 0.000 0.832
0.500 0.500 0.332
0.000 0.000 0.663
0.000 0.500 0.163
0.500 0.000 0.163
0.500 0.500 0.663

Li2InMoN, relaxed, DFT PBE; uncorrected formation energy = -0.21 eV/atom
1.0
4.150 0.000 0.000
0.000 4.150 0.000
0.000 0.000 4.017
Li In Mo N
2 1 1 1
direct
0.000 0.500 0.000
0.500 0.000 0.000
0.000 0.000 0.500
0.500 0.500 0.500
0.500 0.500 0.000

NaLi2InMo, relaxed, DFT PBE; energy of formation = 5.046 eV/f.u.
1.0
4.319 0.000 0.000
0.000 4.319 0.000
0.000 0.000 5.230
Na Li In Mo
1 2 1 1
direct
0.000 0.000 0.000
0.000 0.500 0.000
0.500 0.000 0.000
0.500 0.500 0.500
0.000 0.000 0.500

no.,uncorrected energy (Ry/atom)
1,-0.352
2,-0.403
3,-0.462
4,-0.457
5,-0.450
6,-0.455
7,-0.356
8,-0.394
9,-0.201